{
  "formula": "V12Ga5Fe2",
  "functional": "PBE",
  "state": "optimized geometry",
  "cell": [[-1.2280, -1.7570, 6.2618], [-2.4883, -4.3687, -5.2116], [4.8800, -4.1801, -0.2159]],
  "species": ["V", "V", "V", "V", "Ga", "Ga", "Ga", "Fe", "Ga", "V", "V", "V", "V", "V", "V", "V", "Fe", "V", "Ga"],
  "fractional_positions": [[0.0241, 0.7001, 0.8488], [0.9388, 0.8775, 0.1626], [0.9759, 0.2999, 0.1512], [0.4749, 0.9498, 0.6990], [0.7412, 0.4823, 0.2545], [0.3393, 0.6786, 0.1048], [0.0000, 0.0000, 0.5000], [0.7041, 0.0000, 0.0000], [0.2588, 0.5177, 0.7455], [0.6760, 0.7001, 0.8488], [0.8744, 0.2980, 0.5712], [0.5251, 0.0502, 0.3010], [0.5765, 0.7020, 0.4288], [0.0612, 0.1225, 0.8374], [0.4235, 0.2980, 0.5712], [0.1256, 0.7020, 0.4288], [0.2959, 0.0000, 0.0000], [0.3240, 0.2999, 0.1512], [0.6607, 0.3214, 0.8952]],
  "delta_e_f_ev_per_atom": 0.14,
  "total_energy_ev_per_atom": -7.311,
  "space_group": "C2/m, No. 12"
}